1.
Ca2AgOs | GGA-PBE | relaxed

Results
The value obtained for the total moment is 0.003 μB/atom. Its total energy is -4.240 eV per atom.

Unit cell a=7.5033 b=7.5164 c=3.1149 alpha=90.00 beta=90.00 gamma=90.00
Closest atoms and distances in Å follow each position.
Space group Cmmm (No. 65)
Asymmetric unit:
Ca: 0.2500 0.2500 0.0000  4 Os 3.08, 4 Ag 3.08, 2 Ca 3.11
Ag: 0.0000 0.0000 0.5000  8 Ca 3.08, 2 Ag 3.11
Os: 0.0000 0.5000 0.5000  8 Ca 3.08, 2 Os 3.11



2.
CaAgOs4 | GGA-PBE | relaxed

Results
The value obtained for the total moment is 0.001 μB/atom. Its total energy is -7.783 eV per atom.

Unit cell a=7.4643 b=7.4643 c=7.4643 alpha=90.00 beta=90.00 gamma=90.00
Closest atoms and distances in Å follow each position.
Space group F-43m (No. 216)
Asymmetric unit:
Ca: 0.0000 0.0000 0.0000  12 Os 3.10, 4 Ag 3.23
Ag: 0.2500 0.2500 0.2500  12 Os 3.09, 4 Ca 3.23
Os: 0.1247 0.1247 0.6247  6 Os 2.63-2.65



3.
Ca2AgOs | GGA-PBE | relaxed

Results
The value obtained for the total moment is 0.095 μB/atom. Its total energy is -4.116 eV per atom.

Unit cell a=4.3330 b=4.3330 c=9.2405 alpha=90.00 beta=90.00 gamma=90.00
Closest atoms and distances in Å follow each position.
Space group I-4m2 (No. 119)
Asymmetric unit:
Ca: 0.0000 0.0000 0.0000  4 Ag 3.06, 4 Ca 3.17, 4 Os 3.17
Ca: 0.0000 0.5000 0.2500  4 Os 3.06, 4 Ca 3.17, 4 Ag 3.17
Ag: 0.0000 0.0000 0.5000  8 Ca 3.06-3.17, 4 Os 3.17
Os: 0.0000 0.5000 0.7500  8 Ca 3.06-3.17, 4 Ag 3.17



4.
CaAg3Os | GGA-PBE | relaxed

Results
The value obtained for the total moment is 0.318 μB/atom. Its total energy is -3.514 eV per atom.

Unit cell a=5.0900 b=5.0900 c=5.0900 alpha=90.00 beta=90.00 gamma=90.00
Closest atoms and distances in Å follow each position.
Space group Pm-3m (No. 221)
Asymmetric unit:
Ca: 0.0000 0.0000 0.0000  12 Ag 3.60
Ag: 0.0000 0.5000 0.5000  2 Os 2.54
Os: 0.5000 0.5000 0.5000  6 Ag 2.54



5.
Ca2AgOs | GGA-PBE | relaxed

Results
The value obtained for the total moment is 0.168 μB/atom. Its total energy is -3.764 eV per atom.

Unit cell a=3.2092 b=3.2092 c=31.0956 alpha=90.00 beta=90.00 gamma=120.00
Closest atoms and distances in Å follow each position.
Space group R3m (No. 160, hexagonal axes)
Asymmetric unit:
Ca: 0.0000 0.0000 0.0000  3 Os 2.91, 6 Ca 3.21
Ca: 0.0000 0.0000 0.2243  3 Ag 3.13, 6 Ca 3.21
Ag: 0.0000 0.0000 0.4764  3 Os 2.88, 3 Ca 3.13, 6 Ag 3.21
Os: 0.0000 0.0000 0.7387  3 Ag 2.88, 3 Ca 2.91, 6 Os 3.21



6.
Ca2AgOs | GGA-PBE | relaxed

Results
The value obtained for the total moment is 0.000 μB/atom. Its total energy is -4.082 eV per atom.

Unit cell a=2.8936 b=5.0618 c=5.9899 alpha=90.00 beta=90.00 gamma=90.00
Closest atoms and distances in Å follow each position.
Space group Pmm2 (No. 25)
Asymmetric unit:
Ca: 0.0000 0.0000 0.0000  2 Ca 2.89, 2 Os 2.97-3.02, 4 Ag 3.08
Ca: 0.5000 0.5000 0.3593  2 Ag 2.85-3.14, 2 Ca 2.89, 4 Os 3.04
Ag: 0.5000 0.5000 0.8354  6 Ca 2.85-3.14, 2 Ag 2.89
Os: 0.0000 0.0000 0.5034  2 Os 2.89, 6 Ca 2.97-3.04



7.
Ca2AgOs | GGA-PBE | relaxed

Results
The value obtained for the total moment is 0.000 μB/atom. Its total energy is -4.058 eV per atom.

Unit cell a=3.5435 b=3.5435 c=8.0874 alpha=90.00 beta=90.00 gamma=90.00
Closest atoms and distances in Å follow each position.
Space group P4mm (No. 99)
Asymmetric unit:
Ca: 0.0000 0.0000 0.0000  1 Os 2.95, 4 Ag 3.10
Ca: 0.5000 0.5000 0.4095  1 Ag 2.95, 4 Os 3.10
Ag: 0.5000 0.5000 0.7748  4 Os 2.75, 1 Ca 2.95
Os: 0.0000 0.0000 0.6354  4 Ag 2.75, 1 Ca 2.95



8.
Ca2AgOs4 | GGA-PBE | relaxed

Results
The value obtained for the total moment is 0.233 μB/atom. Its total energy is -5.090 eV per atom.

Unit cell a=4.8183 b=4.8183 c=14.4293 alpha=90.00 beta=90.00 gamma=90.00
Closest atoms and distances in Å follow each position.
Space group I4/mmm (No. 139)
Asymmetric unit:
Ca: 0.0000 0.0000 0.1304  5 Os 2.86-3.06
Ag: 0.0000 0.0000 0.5000  6 Os 2.41-2.47
Os: 0.0000 0.0000 0.3289  1 Ag 2.47
Os: 0.0000 0.5000 0.0000  2 Ag 2.41



9.
Ca2AgOs | GGA-PBE | relaxed

Results
The value obtained for the total moment is 0.000 μB/atom. Its total energy is -4.239 eV per atom.

Unit cell a=11.2328 b=2.9933 c=5.3885 alpha=90.00 beta=103.31 gamma=90.00
Closest atoms and distances in Å follow each position.
Space group Cm (No. 8)
Asymmetric unit:
Ca: 0.0000 0.0000 0.0000  3 Ca 2.99-3.33, 3 Ag 2.99-3.24, 4 Os 3.08-3.18
Ca: 0.1937 0.0000 0.6167  3 Ca 2.99-3.33, 3 Os 3.05-3.12, 4 Ag 3.11-3.23
Ag: 0.2624 0.5000 0.1623  2 Os 2.84, 2 Ag 2.99, 3 Ca 2.99-3.11
Os: 0.4504 0.0000 0.4870  2 Ag 2.84, 2 Os 2.99, 5 Ca 3.05-3.12



10.
Ca2AgOs | GGA-PBE | relaxed

Results
The value obtained for the total moment is 0.142 μB/atom. Its total energy is -3.671 eV per atom.

Unit cell a=4.4009 b=4.4009 c=19.3522 alpha=90.00 beta=90.00 gamma=90.00
Closest atoms and distances in Å follow each position.
Space group I-42d (No. 122)
Asymmetric unit:
Ca: 0.2390 0.2500 0.1250  2 Os 2.86, 2 Ag 2.90, 4 Ca 3.04-3.18
Ag: 0.0000 0.0000 0.5000  4 Ca 2.90, 4 Os 3.11
Os: 0.0000 0.0000 0.0000  4 Ca 2.86, 4 Ag 3.11



11.
Ca2AgOs | GGA-PBE | relaxed

Results
The value obtained for the total moment is 0.000 μB/atom. Its total energy is -4.081 eV per atom.

Unit cell a=3.2951 b=3.2951 c=28.5704 alpha=90.00 beta=90.00 gamma=120.00
Closest atoms and distances in Å follow each position.
Space group R-3m (No. 166, hexagonal axes)
Asymmetric unit:
Ca: 0.0000 0.0000 0.2419  3 Os 2.87
Ag: 0.0000 0.0000 0.0000  6 Ca 3.23, 6 Ag 3.30
Os: 0.0000 0.0000 0.5000  6 Ca 2.87



12.
CaAg4Os | GGA-PBE | relaxed

Results
The value obtained for the total moment is 0.000 μB/atom. Its total energy is -3.679 eV per atom.

Unit cell a=7.7145 b=7.7145 c=7.7145 alpha=90.00 beta=90.00 gamma=90.00
Closest atoms and distances in Å follow each position.
Space group F-43m (No. 216)
Asymmetric unit:
Ca: 0.0000 0.0000 0.0000  12 Ag 3.20, 4 Os 3.34
Ag: 0.1246 0.1246 0.3754  6 Ag 2.72-2.74
Os: 0.2500 0.2500 0.7500  12 Ag 3.20, 4 Ca 3.34



13.
Ca2AgOs | GGA-PBE | relaxed

Results
The value obtained for the total moment is 0.001 μB/atom. Its total energy is -4.048 eV per atom.

Unit cell a=6.9825 b=6.9825 c=6.9825 alpha=90.00 beta=90.00 gamma=90.00
Closest atoms and distances in Å follow each position.
Space group F-43m (No. 216)
Asymmetric unit:
Ca: 0.0000 0.0000 0.0000  4 Ca 3.02, 4 Ag 3.02
Ca: 0.2500 0.2500 0.2500  4 Os 3.02, 4 Ca 3.02
Ag: 0.2500 0.2500 0.7500  4 Ca 3.02, 4 Os 3.02
Os: 0.0000 0.0000 0.5000  4 Ca 3.02, 4 Ag 3.02



14.
Ca2AgOs | GGA-PBE | relaxed

Results
The value obtained for the total moment is 0.000 μB/atom. Its total energy is -4.284 eV per atom.

Unit cell a=3.3825 b=3.3825 c=7.8747 alpha=90.00 beta=90.00 gamma=90.00
Closest atoms and distances in Å follow each position.
Space group P4/mmm (No. 123)
Asymmetric unit:
Ca: 0.0000 0.0000 0.2220  4 Os 2.96, 4 Ag 3.24
Ag: 0.5000 0.5000 0.5000  8 Ca 3.24, 4 Ag 3.38
Os: 0.5000 0.5000 0.0000  8 Ca 2.96



15.
Ca2ReAgOs | GGA-PBE | relaxed

Results
The value obtained for the total moment is 0.862 μB/atom. Its total energy is -4.201 eV per atom.

Unit cell a=5.3773 b=5.3773 c=4.9726 alpha=90.00 beta=90.00 gamma=90.00
Closest atoms and distances in Å follow each position.
Space group P4/mmm (No. 123)
Asymmetric unit:
Ca: 0.0000 0.5000 0.0000  2 Re 2.69
Re: 0.0000 0.0000 0.0000  2 Ag 2.49, 4 Ca 2.69
Ag: 0.0000 0.0000 0.5000  2 Re 2.49
Os: 0.5000 0.5000 0.5000  8 Ca 3.66, 4 Ag 3.80



16.
CaAgOsRu2 | GGA-PBE | relaxed

Results
The value obtained for the total moment is 1.105 μB/atom. Its total energy is -4.973 eV per atom.

Unit cell a=4.8880 b=4.8880 c=4.9010 alpha=90.00 beta=90.00 gamma=90.00
Closest atoms and distances in Å follow each position.
Space group P4/mmm (No. 123)
Asymmetric unit:
Ca: 0.0000 0.0000 0.0000  4 Os 3.46, 8 Ru 3.46
Ag: 0.5000 0.5000 0.5000  4 Ru 2.44, 2 Os 2.45
Os: 0.5000 0.5000 0.0000  2 Ag 2.45
Ru: 0.0000 0.5000 0.5000  2 Ag 2.44



17.
CaSiAg2Os | GGA-PBE | relaxed

Results
The value obtained for the total moment is 0.313 μB/atom. As for the formation energy (no corrections): 1.951 eV/atom.

Unit cell a=5.1042 b=5.1042 c=5.0073 alpha=90.00 beta=90.00 gamma=90.00
Closest atoms and distances in Å follow each position.
Space group P4/mmm (No. 123)
Asymmetric unit:
Ca: 0.0000 0.0000 0.0000  2 Os 2.50, 4 Ag 2.55
Si: 0.5000 0.5000 0.5000  8 Ag 3.58, 4 Os 3.61
Ag: 0.0000 0.5000 0.0000  2 Ca 2.55
Os: 0.0000 0.0000 0.5000  2 Ca 2.50



18.
CaAg2TeOs | GGA-PBE | relaxed

Results
The value obtained for the total moment is 0.306 μB/atom. As for the formation energy (no corrections): 1.571 eV/atom.

Unit cell a=5.1942 b=5.1942 c=4.9858 alpha=90.00 beta=90.00 gamma=90.00
Closest atoms and distances in Å follow each position.
Space group P4/mmm (No. 123)
Asymmetric unit:
Ca: 0.0000 0.0000 0.0000  2 Os 2.49, 4 Ag 2.60
Ag: 0.0000 0.5000 0.0000  2 Ca 2.60
Te: 0.5000 0.5000 0.5000  8 Ag 3.60, 4 Os 3.67
Os: 0.0000 0.0000 0.5000  2 Ca 2.49



19.
Ca2AgP2 | GGA-PBE | relaxed

Results
The value obtained for the total moment is 0.000 μB/atom. Its total energy is -4.314 eV per atom.

Unit cell a=11.2355 b=4.2176 c=10.2720 alpha=90.00 beta=113.45 gamma=90.00
Closest atoms and distances in Å follow each position.
Space group C2/m (No. 12)
Asymmetric unit:
Ca: 0.0951 0.0000 0.4138  3 P 2.84-2.95
Ca: 0.1953 0.5000 0.1559  7 P 2.96-3.29, 4 Ag 3.20-3.22
Ag: 0.0808 0.5000 0.8166  3 P 2.47-2.48
P: 0.0488 0.0000 0.9242  1 P 2.23, 2 Ag 2.47
P: 0.1721 0.5000 0.6333  1 Ag 2.48



20.
Ca3AgP | GGA-PBE | relaxed

Results
The value obtained for the total moment is 0.000 μB/atom. Its total energy is -2.760 eV per atom.

Unit cell a=5.5202 b=5.5202 c=5.5202 alpha=90.00 beta=90.00 gamma=90.00
Closest atoms and distances in Å follow each position.
Space group Pm-3m (No. 221)
Asymmetric unit:
Ca: 0.0000 0.0000 0.5000  2 Ag 2.76
Ag: 0.0000 0.0000 0.0000  6 Ca 2.76
P: 0.5000 0.5000 0.5000  12 Ca 3.90



21.
Ca4Ag2P | GGA-PBE | relaxed

Results
The value obtained for the total moment is 0.000 μB/atom. Its total energy is -3.148 eV per atom.

Unit cell a=5.5126 b=5.5126 c=14.7739 alpha=90.00 beta=90.00 gamma=90.00
Closest atoms and distances in Å follow each position.
Space group I4/mmm (No. 139)
Asymmetric unit:
Ca: 0.0000 0.0000 0.1889  1 P 2.79, 1 Ag 3.03
Ca: 0.0000 0.5000 0.0000  2 P 2.76
Ag: 0.0000 0.0000 0.3941  5 Ca 3.03-3.17, 1 Ag 3.13
P: 0.0000 0.0000 0.0000  6 Ca 2.76-2.79



22.
Ca2AgP2 | GGA-PBE | relaxed

Results
The value obtained for the total moment is 0.000 μB/atom. Its total energy is -4.044 eV per atom.

Unit cell a=5.6274 b=5.6274 c=7.6887 alpha=90.00 beta=90.00 gamma=90.00
Closest atoms and distances in Å follow each position.
Space group I4/mmm (No. 139)
Asymmetric unit:
Ca: 0.0000 0.5000 0.2500  4 P 2.89
Ag: 0.0000 0.0000 0.0000  2 P 2.58
P: 0.0000 0.0000 0.3355  1 P 2.53, 1 Ag 2.58



23.
CaAg2P2 | GGA-PBE | relaxed

Results
The value obtained for the total moment is 0.000 μB/atom. Its total energy is -3.840 eV per atom.

Unit cell a=4.7492 b=4.7492 c=9.2136 alpha=90.00 beta=90.00 gamma=90.00
Closest atoms and distances in Å follow each position.
Space group I4/mmm (No. 139)
Asymmetric unit:
Ca: 0.0000 0.0000 0.0000  2 Ag 3.23, 8 P 3.31
Ag: 0.0000 0.0000 0.3501  4 P 2.55, 1 Ag 2.76
P: 0.0000 0.5000 0.2500  4 Ag 2.55



24.
Ca4AgP | GGA-PBE | relaxed

Results
The value obtained for the total moment is 0.000 μB/atom. Its total energy is -2.289 eV per atom.

Unit cell a=9.1092 b=9.1092 c=9.1092 alpha=90.00 beta=90.00 gamma=90.00
Closest atoms and distances in Å follow each position.
Space group F-43m (No. 216)
Asymmetric unit:
Ca: 0.1240 0.1240 0.1240  6 Ca 3.19-3.25
Ag: 0.0000 0.0000 0.5000  12 Ca 3.78, 4 P 3.94
P: 0.2500 0.2500 0.7500  12 Ca 3.77, 4 Ag 3.94



25.
CaAg4P | GGA-PBE | relaxed

Results
The value obtained for the total moment is 0.000 μB/atom. Its total energy is -3.184 eV per atom.

Unit cell a=7.8657 b=7.8657 c=7.8657 alpha=90.00 beta=90.00 gamma=90.00
Closest atoms and distances in Å follow each position.
Space group F-43m (No. 216)
Asymmetric unit:
Ca: 0.0000 0.0000 0.0000  12 Ag 3.26, 4 P 3.41
Ag: 0.1252 0.1252 0.3748  6 Ag 2.78-2.79
P: 0.2500 0.2500 0.7500  12 Ag 3.26, 4 Ca 3.41



26.
Ca2AgP2 | GGA-PBE | relaxed

Results
The value obtained for the total moment is 0.000 μB/atom. Its total energy is -4.201 eV per atom.

Unit cell a=7.3444 b=7.3444 c=4.0445 alpha=90.00 beta=90.00 gamma=90.00
Closest atoms and distances in Å follow each position.
Space group P4/mbm (No. 127)
Asymmetric unit:
Ca: 0.1509 0.3491 0.0000  6 P 2.84-3.04, 1 Ca 3.13
Ag: 0.0000 0.0000 0.5000  4 P 2.77
P: 0.1574 0.6574 0.5000  2 Ag 2.77, 6 Ca 2.84-3.04



27.
CaAg2P2 | GGA-PBE | relaxed

Results
The value obtained for the total moment is 0.000 μB/atom. Its total energy is -3.760 eV per atom.

Unit cell a=7.6510 b=7.6510 c=3.3224 alpha=90.00 beta=90.00 gamma=90.00
Closest atoms and distances in Å follow each position.
Space group P4/mbm (No. 127)
Asymmetric unit:
Ca: 0.0000 0.0000 0.0000  4 P 2.85
Ag: 0.1360 0.3640 0.5000  6 P 2.71-2.86, 1 Ag 2.94
P: 0.1664 0.6664 0.0000  6 Ag 2.71-2.86, 2 Ca 2.85